(1)
Crystalline Cr2TcRh at its relaxed geometry, computed with PBEsol.

POSCAR file:
```
Cr2TcRh
1.0
2.624 0.000 0.000
0.000 3.653 0.000
0.000 0.000 5.256
Cr Tc Rh
2 1 1
Cartesian
0.000 0.000 0.000
1.312 1.826 1.223
1.312 1.826 4.020
0.000 0.000 2.520
```

Summary:
**Energy**: -9.862 eV per atom
**Magnetization**: 0.00 Bohr magnetons per cell
**Calculated formation energy**: 0.110 eV/atom

---

(2)
Crystalline CrTcRh2 at its relaxed geometry, computed with PBEsol.

POSCAR file:
```
CrTcRh2
1.0
5.961 0.000 0.000
0.000 5.961 0.000
0.000 0.000 5.961
Cr Tc Rh
4 4 8
Cartesian
0.000 0.000 0.000
0.000 2.981 2.981
2.981 0.000 2.981
2.981 2.981 0.000
1.490 1.490 1.490
1.490 4.471 4.471
4.471 1.490 4.471
4.471 4.471 1.490
0.000 0.000 2.981
0.000 2.981 0.000
1.490 1.490 4.471
1.490 4.471 1.490
2.981 0.000 0.000
2.981 2.981 2.981
4.471 1.490 1.490
4.471 4.471 4.471
```

Summary:
**Energy**: -9.206 eV per atom
**Magnetization**: 0.01 Bohr magnetons per cell
**Energy above the lowest structure with this stoichiometry**: 383 meV/atom
**Calculated formation energy**: 0.240 eV/atom

---

(3)
Crystalline CrTcRh2 at its relaxed geometry, computed with PBEsol.

POSCAR file:
```
CrTcRh2
1.0
5.267 0.000 0.000
0.000 7.528 0.000
0.000 0.000 2.640
Cr Tc Rh
2 2 4
Cartesian
0.000 0.000 0.000
2.633 3.764 0.000
0.000 3.764 0.000
2.633 0.000 0.000
1.317 1.882 1.320
1.317 5.646 1.320
3.950 1.882 1.320
3.950 5.646 1.320
```

Summary:
**Energy**: -9.506 eV per atom
**Magnetization**: 1.53 Bohr magnetons per cell
**Energy above the lowest structure with this stoichiometry**: 83 meV/atom
**Calculated formation energy**: -0.060 eV/atom

---

(4)
Crystalline CrTcRh2 at its relaxed geometry, computed with PBEsol.

POSCAR file:
```
CrTcRh2
1.0
2.643 0.000 0.000
-1.322 2.289 0.000
0.000 0.000 25.995
Cr Tc Rh
3 3 6
Cartesian
0.000 0.000 0.000
0.000 1.526 17.330
1.322 0.763 8.665
0.000 0.000 6.482
0.000 1.526 23.813
1.322 0.763 15.148
0.000 0.000 12.981
0.000 0.000 19.337
0.000 1.526 4.315
0.000 1.526 10.672
1.322 0.763 2.007
1.322 0.763 21.646
```

Summary:
**Energy**: -9.422 eV per atom
**Magnetization**: 0.01 Bohr magnetons per cell
**Energy above the lowest structure with this stoichiometry**: 167 meV/atom
**Calculated formation energy**: 0.024 eV/atom